Record 1
Here is an optimized crystal structure of InHS2Cl from Alexandria via LeMat-Bulk. Energies are from PBE.

a b c (Å): 5.203 5.203 5.309
angles (deg): 90.00 90.00 90.00
Each line ends with the local moment (μB).
Element x y z (fractional)
S  0.500  0.000  0.000  0.60
S  0.000  0.500  0.000  0.60
Cl  0.000  0.000  0.500  0.10
H  0.500  0.500  0.500  0.38
In  0.000  0.000  0.000  -0.03

Calculated values
As for the symmetry: P4/mmm. Its polymorph energy (0 for the lowest one) is 0.378 eV per atom.



Record 2
Here is an optimized crystal structure of HfPd2RuRh from Alexandria via LeMat-Bulk. Energies are from PBE.

a b c (Å): 4.732 4.735 4.732
angles (deg): 90.00 90.00 90.00
Element x y z (fractional)
Pd  0.000  0.000  0.500
Pd  0.500  0.000  0.000
Rh  0.500  0.500  0.500
Hf  0.000  0.500  0.000
Ru  0.000  0.000  0.000

Calculated values
Its energy relative to the elements is 1.003 eV/atom. As for the symmetry: P4/mmm.



Record 3
Here is an optimized crystal structure of KPm2PrS4 from Alexandria via LeMat-Bulk. Energies are from PBE.

a b c (Å): 4.080 7.206 7.176
angles (deg): 71.28 90.00 90.00
Element x y z (fractional)
Pr  0.500  0.500  0.000
S  0.500  0.231  0.765
S  0.000  0.240  0.248
S  0.500  0.769  0.235
S  0.000  0.760  0.752
Pm  0.000  0.000  0.000
Pm  0.500  0.000  0.500
K  0.000  0.500  0.500

Calculated values
As for the symmetry: P2/m. The formation energy without anion corrections comes out at -183.6 kJ per mole of atoms.



Record 4
Here is an optimized crystal structure of TiSb from Alexandria via LeMat-Bulk. Energies are from PBE.

a b c (Å): 7.731 7.731 7.731
angles (deg): 90.00 90.00 90.00
Each line ends with the local moment (μB).
Element x y z (fractional)
Sb  0.250  0.000  0.500  -0.07
Sb  0.000  0.500  0.250  -0.07
Sb  0.500  0.750  0.000  -0.07
Sb  0.750  0.000  0.500  -0.07
Sb  0.000  0.500  0.750  -0.07
Sb  0.500  0.250  0.000  -0.07
Ti  0.000  0.250  0.500  0.93
Ti  0.250  0.500  0.000  0.93
Ti  0.750  0.500  0.000  0.93
Ti  0.500  0.000  0.750  0.93
Ti  0.500  0.000  0.250  0.93
Ti  0.000  0.750  0.500  0.93

Calculated values
As for the symmetry: Pm-3n. The formation energy without anion corrections comes out at 29.7 kJ per mole of atoms.



Record 5
Here is an optimized crystal structure of CdBPdO5 from Alexandria via LeMat-Bulk. Energies are from PBE.

a b c (Å): 5.338 5.338 7.000
angles (deg): 105.09 105.09 105.49
Each line ends with the local moment (μB).
Element x y z (fractional)
O  0.095  0.905  0.250  0.24
O  0.256  0.408  0.593  0.17
O  0.323  0.889  0.636  0.05
O  0.744  0.592  0.407  0.17
O  0.677  0.111  0.364  0.05
O  0.889  0.323  0.136  0.05
O  0.111  0.677  0.864  0.05
O  0.592  0.744  0.907  0.17
O  0.408  0.256  0.093  0.17
O  0.905  0.095  0.750  0.24
Cd  0.652  0.348  0.750  0.01
Cd  0.348  0.652  0.250  0.01
Pd  0.000  0.000  0.000  0.19
Pd  0.000  0.000  0.500  0.19
B  0.694  0.306  0.250  -0.01
B  0.306  0.694  0.750  -0.01

Calculated values
As for the symmetry: C2/c. The formation energy without anion corrections comes out at -99.2 kJ per mole of atoms.



Record 6
Here is an optimized crystal structure of LiAu2S from Alexandria via LeMat-Bulk. Energies are from PBE.

a b c (Å): 3.917 3.917 9.737
angles (deg): 78.39 78.39 90.00
Element x y z (fractional)
S  0.000  0.000  0.000
S  0.750  0.250  0.500
Li  0.500  0.500  0.000
Li  0.250  0.750  0.500
Au  0.375  0.373  0.750
Au  0.627  0.125  0.250
Au  0.875  0.877  0.750
Au  0.123  0.625  0.250

Calculated values
As for the symmetry: I-42d. The formation energy without anion corrections comes out at -21.1 kJ per mole of atoms.